# AlCdFe3 PBE optimized geometry
# Volume = 21.35 Å³/atom
# Symmetry = Pm-3m
# Energy = -4.4274 eV/atom
# Energy above the most stable polymorph in this dataset = 655 meV per atom
# E_form = 1.582 eV per atom
data_AlCdFe3
_symmetry_space_group_name_H-M 'P 1'
_symmetry_Int_Tables_number 1
_symmetry_space_group_name_Hall 'P 1'
_cell_length_a 4.7438
_cell_length_b 4.7438
_cell_length_c 4.7438
_cell_angle_alpha 90.00
_cell_angle_beta 90.00
_cell_angle_gamma 90.00
loop_
_atom_site_label
_atom_site_type_symbol
_atom_site_fract_x
_atom_site_fract_y
_atom_site_fract_z
_atom_site_occupancy
Al1 Al 0.5000 0.5000 0.5000 1
Fe1 Fe 0.0000 0.5000 0.0000 1
Fe2 Fe 0.0000 0.0000 0.5000 1
Fe3 Fe 0.5000 0.0000 0.0000 1
Cd1 Cd 0.0000 0.0000 0.0000 1